No. 1
A plane-wave DFT calculation with GGA-PBE was carried out for crystalline CaSiPd2 at its relaxed geometry. Values from VASP.

The structure in Quantum ESPRESSO input format:
```
&SYSTEM
  ibrav = 0, nat = 8, ntyp = 3
/
ATOMIC_SPECIES
Ca 40.08 Ca.upf
Si 28.09 Si.upf
Pd 106.42 Pd.upf
CELL_PARAMETERS angstrom
-2.698 -4.214 -0.179
0.904 -0.369 -4.911
5.518 -6.463 -1.051
ATOMIC_POSITIONS crystal
Ca 0.000 0.000 0.000
Ca 0.750 0.250 0.500
Si 0.500 0.500 0.000
Si 0.250 0.750 0.500
Pd 0.439 0.125 0.250
Pd 0.311 0.625 0.250
Pd 0.375 0.561 0.750
Pd 0.875 0.689 0.750
```

Results
Energy relative to the elements, uncorrected (meV per atom): -386
SG: I-42d
Total DFT energy (no corrections) (eV/atom): -4.839

=====

No. 2
A plane-wave DFT calculation with GGA-PBE was carried out for crystalline La2NiAs at its relaxed geometry. Values from VASP.

The structure in Quantum ESPRESSO input format:
```
&SYSTEM
  ibrav = 0, nat = 4, ntyp = 3
/
ATOMIC_SPECIES
As 74.92 As.upf
La 138.91 La.upf
Ni 58.69 Ni.upf
CELL_PARAMETERS angstrom
-4.624 -2.044 3.463
-0.369 -5.879 1.689
4.078 4.573 -0.103
ATOMIC_POSITIONS crystal
As 0.750 0.250 0.500
La 0.000 0.000 0.000
La 0.250 0.750 0.500
Ni 0.500 0.500 0.000
```

Results
SG: I-4m2
Formation energy (eV per formula unit): -2.52
Total DFT energy (no corrections) (eV/atom): -5.701

=====

No. 3
A plane-wave DFT calculation with GGA-PBE was carried out for crystalline CuMoRh2 at its relaxed geometry. Values from VASP.

The structure in Quantum ESPRESSO input format:
```
&SYSTEM
  ibrav = 0, nat = 4, ntyp = 3
/
ATOMIC_SPECIES
Cu 63.55 Cu.upf
Mo 95.94 Mo.upf
Rh 102.91 Rh.upf
CELL_PARAMETERS angstrom
-1.892 0.998 4.319
-4.799 -0.422 0.146
3.589 -2.824 -1.540
ATOMIC_POSITIONS crystal
Cu 0.500 0.500 0.000
Mo 0.750 0.250 0.500
Rh 0.000 0.000 0.000
Rh 0.250 0.750 0.500
```

Results
SG: I-4m2
Formation energy (eV per formula unit): -0.20
Total DFT energy (no corrections) (eV/atom): -7.458

=====

No. 4
A plane-wave DFT calculation with GGA-PBE was carried out for crystalline LiAlTl2O at its relaxed geometry. Values from VASP.

The structure in Quantum ESPRESSO input format:
```
&SYSTEM
  ibrav = 0, nat = 5, ntyp = 4
/
ATOMIC_SPECIES
Tl 204.38 Tl.upf
Al 26.98 Al.upf
O 16.00 O.upf
Li 6.94 Li.upf
CELL_PARAMETERS angstrom
-2.485 -2.552 4.270
2.690 0.670 1.966
-2.319 4.817 1.530
ATOMIC_POSITIONS crystal
Tl 0.000 0.000 0.500
Tl 0.500 0.000 0.000
Al 0.500 0.500 0.500
O 0.000 0.500 0.000
Li 0.000 0.000 0.000
```

Results
Energy relative to the elements, uncorrected (meV per atom): -227
SG: P4/mmm
Total DFT energy (no corrections) (eV/atom): -3.296

=====

No. 5
A plane-wave DFT calculation with GGA-PBE was carried out for crystalline Pa2SiB6 at its relaxed geometry. Values from VASP.

The structure in Quantum ESPRESSO input format:
```
&SYSTEM
  ibrav = 0, nat = 9, ntyp = 3
/
ATOMIC_SPECIES
Pa 231.04 Pa.upf
Si 28.09 Si.upf
B 10.81 B.upf
CELL_PARAMETERS angstrom
3.761 0.000 0.000
0.000 5.194 0.000
-1.881 -2.597 5.795
ATOMIC_POSITIONS crystal
Pa 0.841 0.841 0.682
Pa 0.159 0.159 0.318
Si 0.000 0.500 0.000
B 0.628 0.786 0.255
B 0.372 0.214 0.745
B 0.372 0.531 0.745
B 0.500 0.164 0.000
B 0.500 0.836 0.000
B 0.628 0.469 0.255
```

Results
Energy relative to the elements, uncorrected (meV per atom): -23
SG: Immm
Total DFT energy (no corrections) (eV/atom): -7.187

=====

No. 6
A plane-wave DFT calculation with GGA-PBE was carried out for crystalline Li2Ga2F7 at its relaxed geometry. Values from VASP.

The structure in Quantum ESPRESSO input format:
```
&SYSTEM
  ibrav = 0, nat = 22, ntyp = 3
/
ATOMIC_SPECIES
Li 6.94 Li.upf
Ga 69.72 Ga.upf
F 19.00 F.upf
CELL_PARAMETERS angstrom
-0.573 -3.136 -4.499
-2.301 -4.298 2.575
-7.519 8.432 -0.451
ATOMIC_POSITIONS crystal
Li 0.400 0.741 0.470
Li 0.259 0.600 0.030
Li 0.741 0.400 0.970
Li 0.600 0.259 0.530
Ga 0.184 0.262 0.232
Ga 0.262 0.184 0.732
Ga 0.738 0.816 0.268
Ga 0.816 0.738 0.768
F 0.063 0.631 0.328
F 0.103 0.346 0.073
F 0.486 0.378 0.374
F 0.916 0.084 0.250
F 0.631 0.063 0.828
F 0.346 0.103 0.573
F 0.378 0.486 0.874
F 0.622 0.514 0.126
F 0.654 0.897 0.427
F 0.369 0.937 0.172
F 0.084 0.916 0.750
F 0.514 0.622 0.626
F 0.897 0.654 0.927
F 0.937 0.369 0.672
```

Results
Energy relative to the elements, uncorrected (meV per atom): -2533
SG: C2/c
Total DFT energy (no corrections) (eV/atom): -4.623

=====

No. 7
A plane-wave DFT calculation with GGA-PBE was carried out for crystalline AcLaBiPb at its relaxed geometry. Values from VASP.

The structure in Quantum ESPRESSO input format:
```
&SYSTEM
  ibrav = 0, nat = 4, ntyp = 4
/
ATOMIC_SPECIES
Pb 207.20 Pb.upf
Ac 227.00 Ac.upf
Bi 208.98 Bi.upf
La 138.91 La.upf
CELL_PARAMETERS angstrom
-1.436 -2.835 4.871
-0.046 -5.815 0.074
4.064 -2.903 2.981
ATOMIC_POSITIONS crystal
Pb 0.500 0.500 0.500
Ac 0.250 0.250 0.250
Bi 0.000 0.000 0.000
La 0.750 0.750 0.750
```

Results
SG: F-43m
Formation energy (eV per formula unit): -2.39
Total DFT energy (no corrections) (eV/atom): -4.753

=====

No. 8
A plane-wave DFT calculation with GGA-PBE was carried out for crystalline Cs5H4 at its relaxed geometry. Values from VASP.

The structure in Quantum ESPRESSO input format:
```
&SYSTEM
  ibrav = 0, nat = 9, ntyp = 2
/
ATOMIC_SPECIES
Cs 132.91 Cs.upf
H 1.01 H.upf
CELL_PARAMETERS angstrom
4.288 0.000 1.246
2.144 8.898 0.623
-0.339 0.000 9.168
ATOMIC_POSITIONS crystal
Cs 0.588 0.645 0.179
Cs 0.767 0.821 0.645
Cs 0.233 0.179 0.355
Cs 0.412 0.355 0.821
Cs 0.000 0.000 0.000
H 0.792 0.317 0.098
H 0.890 0.902 0.317
H 0.110 0.098 0.683
H 0.208 0.683 0.902
```

Results
SG: I4/m
Total DFT energy (no corrections) (eV/atom): -2.027

=====

No. 9
A plane-wave DFT calculation with GGA-PBE was carried out for crystalline Ba2TlPb at its relaxed geometry. Values from VASP.

The structure in Quantum ESPRESSO input format:
```
&SYSTEM
  ibrav = 0, nat = 4, ntyp = 3
/
ATOMIC_SPECIES
Pb 207.20 Pb.upf
Tl 204.38 Tl.upf
Ba 137.33 Ba.upf
CELL_PARAMETERS angstrom
-5.491 -5.913 -0.215
7.938 -0.256 1.447
3.843 5.981 3.825
ATOMIC_POSITIONS crystal
Pb 0.000 0.500 0.500
Tl 0.000 0.000 0.000
Ba 0.000 0.246 0.246
Ba 0.000 0.754 0.754
```

Results
SG: Immm
Formation energy (eV per formula unit): 0.90
Total DFT energy (no corrections) (eV/atom): -2.254

=====

No. 10
A plane-wave DFT calculation with GGA-PBE was carried out for crystalline AlSi2Te at its relaxed geometry. Values from VASP.

The structure in Quantum ESPRESSO input format:
```
&SYSTEM
  ibrav = 0, nat = 4, ntyp = 3
/
ATOMIC_SPECIES
Si 28.09 Si.upf
Te 127.60 Te.upf
Al 26.98 Al.upf
CELL_PARAMETERS angstrom
-1.516 3.240 1.061
0.497 -0.688 2.813
6.336 3.589 -1.907
ATOMIC_POSITIONS crystal
Si 0.000 0.180 0.983
Si 0.500 0.278 0.206
Te 0.000 0.448 0.502
Al 0.500 0.594 0.809
```

Results
Energy relative to the elements, uncorrected (meV per atom): 255
SG: Pm
Total DFT energy (no corrections) (eV/atom): -4.178

=====

No. 11
A plane-wave DFT calculation with GGA-PBE was carried out for crystalline CeAsS at its relaxed geometry. Values from VASP.

The structure in Quantum ESPRESSO input format:
```
&SYSTEM
  ibrav = 0, nat = 6, ntyp = 3
/
ATOMIC_SPECIES
Ce 140.12 Ce.upf
As 74.92 As.upf
S 32.06 S.upf
CELL_PARAMETERS angstrom
3.945 0.000 0.000
0.000 3.945 0.000
-1.972 -1.972 8.414
ATOMIC_POSITIONS crystal
Ce 0.356 0.356 0.713
Ce 0.644 0.644 0.287
As 0.000 0.500 0.000
As 0.500 0.000 0.000
S 0.185 0.185 0.369
S 0.815 0.815 0.631
```

Results
Energy relative to the elements, uncorrected (meV per atom): -1557
SG: I4/mmm
Total DFT energy (no corrections) (eV/atom): -6.460

=====

No. 12
A plane-wave DFT calculation with GGA-PBE was carried out for crystalline Ho2Br2Cl at its relaxed geometry. Values from VASP.

The structure in Quantum ESPRESSO input format:
```
&SYSTEM
  ibrav = 0, nat = 10, ntyp = 3
/
ATOMIC_SPECIES
Ho 164.93 Ho.upf
Br 79.90 Br.upf
Cl 35.45 Cl.upf
CELL_PARAMETERS angstrom
3.783 0.000 -0.747
-0.190 8.136 -0.964
0.151 -0.410 10.720
ATOMIC_POSITIONS crystal
Ho 0.183 0.912 0.366
Ho 0.817 0.088 0.634
Ho 0.318 0.699 0.636
Ho 0.682 0.301 0.364
Br 0.090 0.168 0.181
Br 0.910 0.832 0.819
Br 0.409 0.225 0.818
Br 0.591 0.775 0.182
Cl 0.191 0.552 0.382
Cl 0.809 0.448 0.618
```

Results
Energy relative to the elements, uncorrected (meV per atom): -1501
SG: C2/m
Total DFT energy (no corrections) (eV/atom): -4.371